Compound: La2CrOs
Source: Alexandria
Functional: GGA-PBE
Structure: relaxed

## Properties
As for the energy above the most stable polymorph in this dataset: 230 meV/atom. For the density of states at the Fermi level, the calculation gives 1.3184 states/eV per atom. The calculation puts the energy of formation at 111 kJ/mol of formula units.

a = 3.1853 Å, b = 3.8975 Å, c = 8.1712 Å
α = 90.00°, β = 96.47°, γ = 90.00°
Closest atoms and distances in Å follow each position.
Positions (direct):
La 0.0000 0.0000 0.0000  1 Cr 2.84, 2 Os 3.04
La 0.2724 0.5000 0.5763  1 Os 2.92, 2 Cr 3.03, 2 La 3.19
Cr 0.8222 0.0000 0.3325  2 Os 2.32
Os 0.4833 0.5000 0.2379  2 Cr 2.32